# PBE Sn2WCl, relaxed
# excess energy over the best structure of this formula in the dataset = 0 meV per atom
# E_tot = -4.851 eV per atom
# ΔE_f (raw) = 328.2 kJ/mol of formula units
# calculated volume = 357.48 Å³ per cell
data_Sn2WCl
_chemical_formula_sum 'Sn8 W4 Cl4'
_cell_length_a 7.0971
_cell_length_b 7.0971
_cell_length_c 7.0971
_cell_angle_alpha 90.00
_cell_angle_beta 90.00
_cell_angle_gamma 90.00
_symmetry_space_group_name_H-M 'F m -3 m'
_symmetry_Int_Tables_number 225
_symmetry_space_group_name_Hall '-F 4 2 3'
loop_
_atom_site_label
_atom_site_type_symbol
_atom_site_fract_x
_atom_site_fract_y
_atom_site_fract_z
_atom_site_occupancy
Sn1 Sn 0.2500 0.2500 0.2500 1
W1 W 0.0000 0.0000 0.0000 1
Cl1 Cl 0.0000 0.0000 0.5000 1


# PBE YSnW2Cl, relaxed
# E_tot = -6.580 eV per atom
# ΔE_f (raw) = 513.3 kJ/mol of formula units
# calculated volume = 108.08 Å³ per cell
data_YSnW2Cl
_chemical_formula_sum 'Y1 Sn1 W2 Cl1'
_cell_length_a 4.4618
_cell_length_b 4.4618
_cell_length_c 5.4292
_cell_angle_alpha 90.00
_cell_angle_beta 90.00
_cell_angle_gamma 90.00
_symmetry_space_group_name_H-M 'P 4/m m m'
_symmetry_Int_Tables_number 123
_symmetry_space_group_name_Hall '-P 4 2'
loop_
_atom_site_label
_atom_site_type_symbol
_atom_site_fract_x
_atom_site_fract_y
_atom_site_fract_z
_atom_site_occupancy
Y1 Y 0.0000 0.0000 0.0000 1
Sn1 Sn 0.5000 0.5000 0.0000 1
W1 W 0.0000 0.5000 0.5000 1
Cl1 Cl 0.5000 0.5000 0.5000 1


Question: What is the ΔE_f (raw) in the second record?
Answer: 513.3 kJ/mol of formula units